The following is a DFT calculation (GGA-PBE) of an optimized crystal structure of SbPbCl2.

Output
formation energy from raw total energies: -0.48 eV/atom

Unit cell a=3.5332 b=3.5332 c=30.4162 alpha=90.00 beta=90.00 gamma=120.00
Space group R-3m (No. 166, hexagonal axes)
Symmetry-distinct sites (fractional):
Sb: 0.0000 0.0000 0.0000 [3 per cell]
Pb: 0.0000 0.0000 0.5000 [3 per cell]
Cl: 0.0000 0.0000 0.0863 [6 per cell]

***

The following is a DFT calculation (GGA-PBE) of an optimized crystal structure of NaUCoSe3.

Output
formation energy from raw total energies: -0.89 eV/atom

Unit cell a=8.544 b=3.884 c=9.195 alpha=90.00 beta=106.96 gamma=90.00
Space group P2_1/m (No. 11)
Symmetry-distinct sites (fractional):
Na: 0.195 0.250 0.234 [2 per cell]
U: 0.318 0.750 0.833 [2 per cell]
Co: 0.083 0.250 0.588 [2 per cell]
Se: 0.090 0.250 0.855 [2 per cell]
Se: 0.209 0.750 0.515 [2 per cell]
Se: 0.435 0.750 0.161 [2 per cell]

***

The following is a DFT calculation (GGA-PBE) of an optimized crystal structure of Th6Sb3P2Se.

Output
formation energy from raw total energies: -1.24 eV/atom

Unit cell a=18.955 b=4.302 c=8.735 alpha=90.00 beta=103.93 gamma=90.00
Space group C2/m (No. 12)
Symmetry-distinct sites (fractional):
Th: 0.011 0.000 0.242 [4 per cell]
Th: 0.164 0.500 0.109 [4 per cell]
Th: 0.175 0.500 0.565 [4 per cell]
Sb: 0.000 0.500 0.500 [2 per cell]
Sb: 0.164 0.000 0.834 [4 per cell]
P: 0.168 0.000 0.335 [4 per cell]
Se: 0.000 0.500 0.000 [2 per cell]

***

The following is a DFT calculation (GGA-PBE) of an optimized crystal structure of Ac3SeS6.

Output
formation energy from raw total energies: -1.48 eV/atom

Unit cell a=11.968 b=14.171 c=7.373 alpha=90.00 beta=90.00 gamma=90.00
Space group Cmc2_1 (No. 36)
Symmetry-distinct sites (fractional):
Ac: 0.000 0.103 0.000 [4 per cell]
Ac: 0.215 0.388 0.075 [8 per cell]
Se: 0.000 0.324 0.542 [4 per cell]
S: 0.000 0.303 0.233 [4 per cell]
S: 0.000 0.475 0.609 [4 per cell]
S: 0.154 0.025 0.289 [8 per cell]
S: 0.161 0.235 0.818 [8 per cell]

***

The following is a DFT calculation (GGA-PBE) of an optimized crystal structure of Cs4US5.

Output
formation energy from raw total energies: -1.25 eV/atom

Unit cell a=10.653 b=10.653 c=6.965 alpha=90.00 beta=90.00 gamma=90.00
Space group I4 (No. 79)
Symmetry-distinct sites (fractional):
Cs: 0.100 0.702 0.000 [8 per cell]
U: 0.000 0.000 0.533 [2 per cell]
S: 0.000 0.000 0.891 [2 per cell]
S: 0.073 0.775 0.498 [8 per cell]

***

The following is a DFT calculation (GGA-PBE) of an optimized crystal structure of Mg2ZrSc2.

Output
energy of formation from the pure elements: 0.15 eV/atom

Unit cell a=8.371 b=8.371 c=3.337 alpha=90.00 beta=90.00 gamma=90.00
Space group P4/mbm (No. 127)
Symmetry-distinct sites (fractional):
Mg: 0.125 0.375 0.000 [4 per cell]
Zr: 0.000 0.000 0.000 [2 per cell]
Sc: 0.175 0.675 0.500 [4 per cell]

***

The following is a DFT calculation (GGA-PBE) of an optimized crystal structure of AgH3Pd3.

Output
final energy: -4.114 eV per atom

Unit cell a=5.0781 b=5.0781 c=21.1105 alpha=90.00 beta=90.00 gamma=120.00
Space group R-3 (No. 148, hexagonal axes)
Symmetry-distinct sites (fractional):
Ag: 0.0000 0.0000 0.1665 [6 per cell]
H: 0.0009 0.3243 0.5801 [18 per cell]
Pd: 0.0014 0.3324 0.7220 [18 per cell]

***

The following is a DFT calculation (GGA-PBE) of an optimized crystal structure of VSbRu2.

Output
formation energy from raw total energies: -0.02 eV/atom

Unit cell a=3.049 b=3.049 c=6.765 alpha=90.00 beta=90.00 gamma=90.00
Space group P4/mmm (No. 123)
Symmetry-distinct sites (fractional):
V: 0.000 0.000 0.000 [1 per cell]
Sb: 0.000 0.000 0.500 [1 per cell]
Ru: 0.500 0.500 0.217 [2 per cell]

***

The following is a DFT calculation (GGA-PBE) of an optimized crystal structure of LaNd3Os.

Output
energy of formation from the pure elements: -0.01 eV/atom

Unit cell a=7.9200 b=7.9200 c=6.1089 alpha=90.00 beta=90.00 gamma=120.00
Space group P6_3/mmc (No. 194)
Symmetry-distinct sites (fractional):
La: 0.3333 0.6667 0.2500 [2 per cell]
Nd: 0.1741 0.3483 0.7500 [6 per cell]
Os: 0.0000 0.0000 0.0000 [2 per cell]